(1)
Below is a relaxed SrPuAg2S4 crystal, with properties calculated at the PBE level.

extended XYZ file:
```
8
Lattice="-3.4445 3.5319 3.8609 3.4445 -3.5319 3.8609 3.4445 3.5319 -3.8609" Properties=species:S:1:pos:R:3 pbc="T T T"
Sr 0.0000 0.0000 0.0000
Pu 0.0000 0.0000 3.8609
Ag 3.4445 0.0000 2.3043
Ag 0.0000 3.5319 1.5566
S 1.8969 1.9584 -1.5867
S 1.5476 -1.5735 5.4476
S 1.5476 1.5735 2.2742
S 1.8969 5.1053 1.5867
```

Results
energy relative to the elements, uncorrected = -90.77 kJ per mole of atoms
uncorrected energy = -45.8 eV per cell
space group = I222, No. 23
DOS at the Fermi energy = 14.49 states/eV/f.u.

(2)
Below is a relaxed TbPuAgS4 crystal, with properties calculated at the PBE level.

extended XYZ file:
```
14
Lattice="-3.9608 4.0294 5.6065 3.9608 -4.0294 5.6065 3.9608 4.0294 -5.6065" Properties=species:S:1:pos:R:3 pbc="T T T"
Tb -1.9804 2.0147 2.8033
Tb 1.9804 2.0147 2.8033
Pu 0.0000 0.0000 0.0000
Pu 0.0000 4.0294 0.0000
Ag 3.9608 2.0147 -1.4514
Ag 0.0000 2.0147 7.0579
S 0.0000 0.1146 2.6795
S 1.8090 2.0147 0.0461
S 2.1518 -2.0147 5.6526
S 3.9608 0.1146 2.9270
S 0.0000 3.9148 2.6795
S 1.8090 6.0441 -0.0461
S 2.1518 2.0147 5.5604
S 3.9608 3.9148 2.9270
```

Results
energy relative to the elements, uncorrected = -129.41 kJ per mole of atoms
uncorrected energy = -95.4 eV per cell
space group = Imma, No. 74
DOS at the Fermi energy = 11.31 states/eV/f.u.

(3)
Below is a relaxed Tb3PuAg4S8 crystal, with properties calculated at the PBE level.

extended XYZ file:
```
16
Lattice="6.5282 -4.0600 0.0000 6.5282 4.0600 0.0000 -3.9724 0.0000 6.5570" Properties=species:S:1:pos:R:3 pbc="T T T"
Tb 0.0000 0.0000 0.0000
Tb 1.2779 2.0300 3.2785
Tb 1.2779 -2.0300 3.2785
Pu 6.5282 0.0000 0.0000
Ag -1.9862 0.0000 3.2785
Ag 3.2641 2.0300 0.0000
Ag 3.2641 -2.0300 0.0000
Ag 4.5420 0.0000 3.2785
S 3.5026 2.0418 4.9212
S 2.2302 0.0000 1.6479
S 0.3236 0.0000 4.8947
S 5.5815 2.0418 1.6358
S 3.5026 -2.0418 4.9212
S 8.7604 0.0000 1.6623
S 6.8538 0.0000 4.9092
S 5.5815 -2.0418 1.6358
```

Results
energy relative to the elements, uncorrected = -116.18 kJ per mole of atoms
uncorrected energy = -91.9 eV per cell
space group = C2/m, No. 12
DOS at the Fermi energy = 13.12 states/eV/f.u.

(4)
Below is a relaxed TbPuAg2S4 crystal, with properties calculated at the PBE level.

extended XYZ file:
```
8
Lattice="-2.7167 2.7167 6.1264 2.7167 -2.7167 6.1264 2.7167 2.7167 -6.1264" Properties=species:S:1:pos:R:3 pbc="T T T"
Tb 0.0000 0.0000 0.0000
Pu 0.0000 2.7167 3.0632
Ag 2.7167 0.0000 3.0632
Ag 0.0000 0.0000 6.1264
S 0.0000 0.0000 2.7634
S 0.0000 2.7167 0.2626
S 0.0000 0.0000 9.4894
S 0.0000 2.7167 5.8638
```

Results
energy relative to the elements, uncorrected = -111.13 kJ per mole of atoms
uncorrected energy = -50.4 eV per cell
space group = I-4m2, No. 119
DOS at the Fermi energy = 9.24 states/eV/f.u.

(5)
Below is a relaxed Tb3PuAg3S8 crystal, with properties calculated at the PBE level.

extended XYZ file:
```
15
Lattice="6.5179 -4.0390 0.0000 6.5179 4.0390 0.0000 -4.0487 0.0000 6.5408" Properties=species:S:1:pos:R:3 pbc="T T T"
Tb 0.0000 0.0000 0.0000
Tb 1.2346 2.0195 3.2704
Tb 1.2346 -2.0195 3.2704
Pu 6.5179 0.0000 0.0000
Ag 3.2590 2.0195 0.0000
Ag 3.2590 -2.0195 0.0000
Ag 4.4936 0.0000 3.2704
S 2.2085 0.0000 1.6576
S 3.4167 1.9839 4.9602
S 0.3102 0.0000 4.9095
S 5.5704 1.9839 1.5807
S 3.4167 -1.9839 4.9602
S 8.6769 0.0000 1.6313
S 5.5704 -1.9839 1.5807
S 6.7787 0.0000 4.8832
```

Results
energy relative to the elements, uncorrected = -124.68 kJ per mole of atoms
uncorrected energy = -89.2 eV per cell
space group = C2/m, No. 12
DOS at the Fermi energy = 12.00 states/eV/f.u.

(6)
Below is a relaxed PuAgTeS crystal, with properties calculated at the PBE level.

extended XYZ file:
```
8
Lattice="4.4826 0.0000 0.0000 0.0000 4.4826 0.0000 0.0000 0.0000 9.7611" Properties=species:S:1:pos:R:3 pbc="T T T"
Pu 1.1206 1.1206 1.5250
Pu 3.3619 3.3619 8.2360
Ag 1.1206 3.3619 4.8805
Ag 3.3619 1.1206 4.8805
Te 1.1206 1.1206 6.7489
Te 3.3619 3.3619 3.0122
S 1.1206 3.3619 0.0000
S 3.3619 1.1206 0.0000
```

Results
energy relative to the elements, uncorrected = -84.70 kJ per mole of atoms
uncorrected energy = -55.9 eV per cell
space group = P4/nmm, No. 129
DOS at the Fermi energy = 8.02 states/eV/f.u.

(7)
Below is a relaxed PuAg2TeS4 crystal, with properties calculated at the PBE level.

extended XYZ file:
```
16
Lattice="5.0463 -6.1210 0.0000 5.0463 6.1210 0.0000 -4.4020 0.0000 6.3342" Properties=species:S:1:pos:R:3 pbc="T T T"
Pu 2.5232 3.0605 0.0000
Pu 0.3222 -3.0605 3.1671
Ag 0.0000 0.0000 0.0000
Ag -2.2010 0.0000 3.1671
Ag 0.3222 3.0605 3.1671
Ag 2.5232 -3.0605 0.0000
Te 5.0463 0.0000 0.0000
Te 2.8453 0.0000 3.1671
S -1.8776 0.4198 5.6122
S 0.3234 -0.4198 2.4451
S 2.6517 2.6589 2.7845
S 5.2400 2.6589 0.3826
S 0.4507 -2.6589 5.9516
S 3.0390 -2.6589 3.5498
S 5.3672 0.4198 3.8892
S 7.5682 -0.4198 0.7221
```

Results
energy relative to the elements, uncorrected = -43.66 kJ per mole of atoms
uncorrected energy = -86.6 eV per cell
space group = C2/c, No. 15
DOS at the Fermi energy = 9.83 states/eV/f.u.

(8)
Below is a relaxed Pu3TiAg3S8 crystal, with properties calculated at the PBE level.

extended XYZ file:
```
15
Lattice="6.5518 -3.9488 0.0000 6.5518 3.9488 0.0000 -4.1902 0.0000 6.4178" Properties=species:S:1:pos:R:3 pbc="T T T"
Pu 0.0000 0.0000 0.0000
Pu 1.1808 1.9744 3.2089
Pu 1.1808 -1.9744 3.2089
Ti 6.5518 0.0000 0.0000
Ag 3.2759 1.9744 0.0000
Ag 3.2759 -1.9744 0.0000
Ag 4.4567 0.0000 3.2089
S 2.1841 0.0000 1.6252
S 3.2986 1.8199 4.9533
S 0.3361 0.0000 4.9232
S 5.6147 1.8199 1.4644
S 3.2986 -1.8199 4.9533
S 8.5773 0.0000 1.4945
S 5.6147 -1.8199 1.4644
S 6.7292 0.0000 4.7926
```

Results
energy relative to the elements, uncorrected = -102.28 kJ per mole of atoms
uncorrected energy = -108.4 eV per cell
space group = C2/m, No. 12
DOS at the Fermi energy = 26.99 states/eV/f.u.

(9)
Below is a relaxed Pu2Tl3AgS6 crystal, with properties calculated at the PBE level.

extended XYZ file:
```
12
Lattice="3.4349 -6.0019 0.0000 3.4349 6.0019 0.0000 -2.2296 0.0000 7.4734" Properties=species:S:1:pos:R:3 pbc="T T T"
Pu 3.4349 3.9987 0.0000
Pu 3.4349 -3.9987 0.0000
Tl -1.1148 0.0000 3.7367
Tl 2.3202 1.9230 3.7367
Tl 2.3202 -1.9230 3.7367
Ag 3.4349 0.0000 0.0000
S -0.0196 2.1384 5.9518
S 1.0632 0.0000 1.4325
S -0.0196 -2.1384 5.9518
S 4.6599 2.1384 1.5216
S 3.5771 0.0000 6.0409
S 4.6599 -2.1384 1.5216
```

Results
energy relative to the elements, uncorrected = -84.66 kJ per mole of atoms
uncorrected energy = -73.9 eV per cell
space group = C2/m, No. 12
DOS at the Fermi energy = 12.52 states/eV/f.u.

(10)
Below is a relaxed PuTl2Ag2S4 crystal, with properties calculated at the PBE level.

extended XYZ file:
```
9
Lattice="7.5069 -2.0568 0.0000 7.5069 2.0568 0.0000 -2.8427 0.0000 7.1663" Properties=species:S:1:pos:R:3 pbc="T T T"
Pu 0.0000 0.0000 0.0000
Tl 0.4765 0.0000 4.0432
Tl 11.6946 0.0000 3.1231
Ag 4.7742 0.0000 0.2021
Ag 7.3969 0.0000 6.9642
S 2.3619 0.0000 1.3725
S 6.8083 0.0000 1.6621
S 5.3628 0.0000 5.5042
S 9.8091 0.0000 5.7938
```

Results
energy relative to the elements, uncorrected = -61.68 kJ per mole of atoms
uncorrected energy = -47.0 eV per cell
space group = C2/m, No. 12
DOS at the Fermi energy = 9.25 states/eV/f.u.

(11)
Below is a relaxed PuTlAg2S4 crystal, with properties calculated at the PBE level.

extended XYZ file:
```
8
Lattice="-3.4177 3.5191 3.7799 3.4177 -3.5191 3.7799 3.4177 3.5191 -3.7799" Properties=species:S:1:pos:R:3 pbc="T T T"
Pu 0.0000 0.0000 0.0000
Tl 0.0000 0.0000 3.7799
Ag 3.4177 0.0000 1.5378
Ag 0.0000 3.5191 2.2421
S 1.6257 1.6940 -1.3510
S 1.7920 -1.8251 5.1309
S 1.7920 1.8251 2.4289
S 1.6257 5.3442 1.3510
```

Results
energy relative to the elements, uncorrected = -41.51 kJ per mole of atoms
uncorrected energy = -42.4 eV per cell
space group = I222, No. 23
DOS at the Fermi energy = 14.00 states/eV/f.u.

(12)
Below is a relaxed PuTl2AgS4 crystal, with properties calculated at the PBE level.

extended XYZ file:
```
8
Lattice="6.5442 0.0000 0.0000 0.0000 4.0511 0.0000 -2.2991 0.0000 7.4335" Properties=species:S:1:pos:R:3 pbc="T T T"
Pu 0.0000 0.0000 0.0000
Tl -1.1496 2.0256 3.7167
Tl 2.1225 0.0000 3.7167
Ag 3.2721 2.0256 0.0000
S 1.0160 2.0256 1.4763
S -0.1902 0.0000 5.9159
S 4.4352 0.0000 1.5175
S 3.2290 2.0256 5.9572
```

Results
energy relative to the elements, uncorrected = -62.32 kJ per mole of atoms
uncorrected energy = -43.6 eV per cell
space group = P2/m, No. 10
DOS at the Fermi energy = 7.42 states/eV/f.u.